# 1
BC after structural relaxation, computed with GGA-PBE.

Unit cell a=12.9067 b=2.5856 c=5.1953 alpha=90.00 beta=93.12 gamma=90.00
With the nearest neighbours (Å) after each atom.
Space group Cm (No. 8)
Symmetry-distinct sites (fractional):
B1 0.0000 0.0000 0.0000  2 C 1.55, 1 B 1.70
B2 0.0413 0.5000 0.6068  2 C 1.53-1.71
B3 0.1505 0.5000 0.1651  3 C 1.50-1.63
B4 0.2864 0.0000 0.0121  2 C 1.64-1.67
B5 0.3830 0.5000 0.1348  3 B 1.70-1.88, 1 C 1.76
B6 0.4582 0.5000 0.4813  1 C 1.48
C1 0.0592 0.5000 0.9363  4 B 1.55-1.71, 1 C 1.66
C2 0.1522 0.5000 0.7286  1 B 1.53, 3 C 1.56-1.66
C3 0.2021 0.0000 0.2438  3 B 1.50-1.67, 1 C 1.53
C4 0.2198 0.0000 0.7349  3 C 1.56, 1 B 1.64
C5 0.2780 0.0000 0.4794  4 C 1.53-1.56
C6 0.3436 0.5000 0.4543  1 B 1.48, 2 C 1.55

---

# 2
BC after structural relaxation, computed with GGA-PBE.

Unit cell a=4.2380 b=4.2831 c=5.0251 alpha=106.15 beta=105.18 gamma=107.16
With the nearest neighbours (Å) after each atom.
Space group P1 (No. 1)
Symmetry-distinct sites (fractional):
B1 0.0000 0.0000 0.0000  3 C 1.57-1.61
B2 0.0418 0.6677 0.1759  2 C 1.70-1.74, 2 B 1.80-1.90
B3 0.4889 0.1382 0.6526  1 C 1.63, 2 B 1.70-1.80
B4 0.5462 0.4555 0.5074  2 C 1.58-1.62, 1 B 1.70
B5 0.6827 0.2468 0.0638  2 C 1.57-1.64
B6 0.8451 0.1331 0.5211  3 C 1.62-1.66, 1 B 1.80
C1 0.1669 0.7596 0.5578  2 C 1.51-1.58, 1 B 1.63
C2 0.2267 0.4683 0.6762  2 C 1.58, 1 B 1.62
C3 0.3514 0.6200 0.0279  3 C 1.55-1.58, 1 B 1.70
C4 0.3745 0.3264 0.1467  1 C 1.55, 3 B 1.57-1.62
C5 0.7247 0.9243 0.1644  1 C 1.55, 3 B 1.61-1.64
C6 0.8738 0.8237 0.6520  1 C 1.51, 3 B 1.57-1.66

---

# 3
BC9 after structural relaxation, computed with GGA-PBE.

Unit cell a=2.5181 b=12.7890 c=3.6590 alpha=90.00 beta=90.00 gamma=90.00
With the nearest neighbours (Å) after each atom.
Space group Imm2 (No. 44)
Symmetry-distinct sites (fractional):
B1 0.0000 0.0000 0.0000  4 C 1.60-1.66
C1 0.0000 0.1041 0.2402  3 C 1.55, 1 B 1.60
C2 0.0000 0.2012 0.9883  4 C 1.55-1.57
C3 0.0000 0.2999 0.2426  4 C 1.55-1.57
C4 0.0000 0.3982 0.9850  4 C 1.53-1.57
C5 0.0000 0.5000 0.2036  2 C 1.53, 2 B 1.66

---

# 4
B3C7 after structural relaxation, computed with GGA-PBE.

Unit cell a=2.5750 b=2.5750 c=32.9292 alpha=90.00 beta=90.00 gamma=120.00
With the nearest neighbours (Å) after each atom.
Space group R3m (No. 160, hexagonal axes)
Symmetry-distinct sites (fractional):
B1 0.0000 0.0000 0.0000  4 C 1.63
B2 0.0000 0.0000 0.2006  4 C 1.58-1.65
B3 0.0000 0.0000 0.7977  4 C 1.62-1.65
C1 0.0000 0.0000 0.1526  4 B 1.58-1.65
C2 0.0000 0.0000 0.3533  1 C 1.52, 3 B 1.63
C3 0.0000 0.0000 0.3996  4 C 1.52-1.57
C4 0.0000 0.0000 0.5557  1 C 1.50, 3 B 1.65
C5 0.0000 0.0000 0.6012  4 C 1.50-1.58
C6 0.0000 0.0000 0.7485  3 C 1.57, 1 B 1.62
C7 0.0000 0.0000 0.9506  3 C 1.58, 1 B 1.63

---

# 5
BC after structural relaxation, computed with GGA-PBE.

Unit cell a=2.4894 b=2.4280 c=8.7790 alpha=90.00 beta=90.00 gamma=90.00
With the nearest neighbours (Å) after each atom.
Space group Pmma (No. 51)
Symmetry-distinct sites (fractional):
B1 0.2500 0.0000 0.0726  4 B 1.78-1.81
B2 0.2500 0.5000 0.2260  2 C 1.63, 2 B 1.81
C1 0.2500 0.0000 0.5550  4 C 1.49-1.58
C2 0.2500 0.5000 0.6533  2 C 1.49, 2 B 1.63

---

# 6
BC after structural relaxation, computed with GGA-PBE.

Unit cell a=2.5264 b=2.5264 c=28.6674 alpha=90.00 beta=90.00 gamma=120.00
With the nearest neighbours (Å) after each atom.
Space group R-3m (No. 166, hexagonal axes)
Symmetry-distinct sites (fractional):
B1 0.0000 0.0000 0.0292  4 B 1.67-1.80
B2 0.0000 0.0000 0.2671  1 C 1.58
C1 0.0000 0.0000 0.2119  3 C 1.55, 1 B 1.58
C2 0.0000 0.0000 0.4731  4 C 1.54-1.55

---

# 7
B7C5 after structural relaxation, computed with GGA-PBE.

Unit cell a=12.0634 b=2.7302 c=5.1858 alpha=90.00 beta=100.32 gamma=90.00
With the nearest neighbours (Å) after each atom.
Space group Cm (No. 8)
Symmetry-distinct sites (fractional):
B1 0.0000 0.0000 0.0000  1 C 1.65, 3 B 1.69-1.70
B2 0.0082 0.0000 0.6169  3 C 1.61
B3 0.0290 0.5000 0.1934  1 C 1.65, 2 B 1.69
B4 0.1662 0.5000 0.7613  3 C 1.56-1.66
B5 0.1767 0.5000 0.3848  3 C 1.60-1.71
B6 0.3213 0.0000 0.6521  4 C 1.65-1.79
B7 0.3692 0.5000 0.0767  3 C 1.64-1.80, 1 B 1.70
C1 0.0568 0.5000 0.5173  5 B 1.61-1.71
C2 0.2191 0.0000 0.8638  1 C 1.52, 2 B 1.56
C3 0.2421 0.0000 0.3578  1 C 1.51, 3 B 1.60-1.65
C4 0.3004 0.0000 0.1242  2 C 1.51-1.52, 2 B 1.64
C5 0.3965 0.5000 0.7458  4 B 1.61-1.66

---

# 8
BC after structural relaxation, computed with GGA-PBE.

Unit cell a=2.6310 b=12.2716 c=4.1934 alpha=90.00 beta=90.00 gamma=90.00
With the nearest neighbours (Å) after each atom.
Space group Imm2 (No. 44)
Symmetry-distinct sites (fractional):
B1 0.0000 0.0000 0.0000  2 C 1.65, 2 B 1.73
B2 0.0000 0.0865 0.3272  2 C 1.63, 1 B 1.73
B3 0.0000 0.2045 0.9866  3 C 1.61-1.64
C1 0.0000 0.2983 0.2642  1 C 1.51, 3 B 1.61-1.64
C2 0.0000 0.3975 0.0525  2 C 1.51-1.53, 2 B 1.63
C3 0.0000 0.5000 0.2609  2 C 1.53, 2 B 1.65

---

# 9
BC after structural relaxation, computed with GGA-PBE.

Unit cell a=12.2045 b=2.7073 c=5.3435 alpha=90.00 beta=106.15 gamma=90.00
With the nearest neighbours (Å) after each atom.
Space group Cm (No. 8)
Symmetry-distinct sites (fractional):
B1 0.0000 0.0000 0.0000  3 C 1.56-1.70
B2 0.0024 0.0000 0.3815  3 C 1.56-1.65
B3 0.1468 0.5000 0.2831  4 C 1.69-1.73
B4 0.1933 0.0000 0.7700  3 C 1.57-1.61
B5 0.3345 0.0000 0.2011  3 C 1.59-1.60
B6 0.3497 0.5000 0.7786  2 C 1.57
C1 0.0596 0.5000 0.4892  3 B 1.56-1.73, 1 C 1.59
C2 0.0596 0.5000 0.9761  1 C 1.51, 2 B 1.56
C3 0.1311 0.5000 0.7877  2 C 1.51-1.59, 2 B 1.57
C4 0.2377 0.0000 0.3482  1 C 1.57, 3 B 1.59-1.72
C5 0.2999 0.0000 0.6475  3 B 1.57-1.61, 1 C 1.57
C6 0.3877 0.5000 0.1284  4 B 1.60-1.70

---

# 10
BC after structural relaxation, computed with GGA-PBE.

Unit cell a=3.8600 b=4.5177 c=5.3566 alpha=104.11 beta=90.08 gamma=113.96
With the nearest neighbours (Å) after each atom.
Space group P1 (No. 1)
Symmetry-distinct sites (fractional):
B1 0.0000 0.0000 0.0000  3 C 1.58-1.71, 1 B 1.72
B2 0.0224 0.0065 0.5154  3 C 1.59-1.71
B3 0.0656 0.6163 0.3788  2 C 1.58-1.65
B4 0.1323 0.6726 0.9616  1 C 1.53
B5 0.4088 0.6806 0.6585  2 C 1.57-1.62
B6 0.6174 0.2891 0.8159  3 C 1.59-1.61
C1 0.3821 0.6432 0.1678  2 B 1.53-1.65, 2 C 1.53-1.54
C2 0.4339 0.3227 0.5623  1 C 1.58, 3 B 1.60-1.62
C3 0.4457 0.3206 0.0893  2 C 1.53-1.56, 2 B 1.61-1.71
C4 0.6684 0.2992 0.3235  3 C 1.56-1.60, 1 B 1.58
C5 0.7500 0.9698 0.2470  2 C 1.54-1.60, 2 B 1.64-1.71
C6 0.7818 0.0120 0.7566  4 B 1.57-1.59

---

# 11
B7C5 after structural relaxation, computed with GGA-PBE.

Unit cell a=9.0474 b=2.6875 c=7.5095 alpha=90.00 beta=114.33 gamma=90.00
With the nearest neighbours (Å) after each atom.
Space group Cm (No. 8)
Symmetry-distinct sites (fractional):
B1 0.0000 0.0000 0.0000  3 C 1.59-1.62
B2 0.0045 0.5000 0.4266  3 C 1.60-1.68, 1 B 1.75
B3 0.1649 0.5000 0.3533  4 B 1.66-1.75
B4 0.1894 0.0000 0.7490  3 C 1.56-1.67, 1 B 1.74
B5 0.2576 0.0000 0.3170  1 C 1.60, 2 B 1.66
B6 0.3568 0.5000 0.5347  1 C 1.58, 1 B 1.71
B7 0.3757 0.0000 0.7323  1 C 1.56, 1 B 1.74
C1 0.0364 0.0000 0.5520  4 B 1.56-1.60
C2 0.0410 0.5000 0.9166  1 C 1.54, 3 B 1.56-1.59
C3 0.1997 0.5000 0.8861  2 C 1.54-1.56, 2 B 1.67
C4 0.3576 0.5000 0.0789  3 C 1.56-1.58, 1 B 1.62
C5 0.3660 0.0000 0.1937  2 C 1.58, 2 B 1.60-1.68

---

# 12
BC after structural relaxation, computed with GGA-PBE.

Unit cell a=2.5724 b=2.5724 c=13.9779 alpha=90.00 beta=90.00 gamma=120.00
With the nearest neighbours (Å) after each atom.
Space group P3m1 (No. 156)
Symmetry-distinct sites (fractional):
B1 0.0000 0.0000 0.0000  4 B 1.67-1.81
B2 0.0000 0.0000 0.1192  4 B 1.67-1.80
B3 0.0000 0.0000 0.6162  4 C 1.58-1.64
B4 0.3333 0.6667 0.1925  1 C 1.60
B5 0.6667 0.3333 0.4604  4 C 1.60-1.68
B6 0.6667 0.3333 0.9254  1 C 1.59
C1 0.0000 0.0000 0.5034  4 B 1.58-1.60
C2 0.3333 0.6667 0.3072  3 C 1.55, 1 B 1.60
C3 0.3333 0.6667 0.6655  1 C 1.51, 3 B 1.64
C4 0.3333 0.6667 0.7733  4 C 1.51-1.58
C5 0.6667 0.3333 0.3400  3 C 1.55, 1 B 1.68
C6 0.6667 0.3333 0.8118  3 C 1.58, 1 B 1.59

---

# 13
B3C after structural relaxation, computed with GGA-PBE.

Unit cell a=4.3308 b=3.9731 c=5.6405 alpha=90.00 beta=111.26 gamma=90.00
With the nearest neighbours (Å) after each atom.
Space group P2 (No. 3)
Symmetry-distinct sites (fractional):
B1 0.0000 0.0000 0.0000  2 C 1.48
B2 0.0000 0.1215 0.5000  4 B 1.66-1.79
B3 0.1843 0.3175 0.3274  2 B 1.66-1.69, 1 C 1.66
B4 0.2362 0.5292 0.7537  1 C 1.62
B5 0.3888 0.9071 0.6322  1 C 1.59, 1 B 1.69
B6 0.5000 0.5693 0.5000  4 B 1.69
C1 0.3442 0.1112 0.1431  2 B 1.48-1.59, 1 C 1.54
C2 0.5000 0.3461 0.0000  2 C 1.54, 2 B 1.62

---

# 14
B7C5 after structural relaxation, computed with GGA-PBE.

Unit cell a=2.3388 b=2.5508 c=13.5431 alpha=90.00 beta=90.00 gamma=90.00
With the nearest neighbours (Å) after each atom.
Space group Pmm2 (No. 25)
Symmetry-distinct sites (fractional):
B1 0.0000 0.0000 0.0000  2 C 1.66, 2 B 1.79
B2 0.0000 0.0000 0.2929  2 C 1.61, 2 B 1.80
B3 0.0000 0.5000 0.5921  2 C 1.59
B4 0.0000 0.5000 0.9075  2 C 1.64, 2 B 1.79
B5 0.5000 0.0000 0.3943  4 B 1.80-1.81
B6 0.5000 0.0000 0.7507  4 C 1.60-1.67
B7 0.5000 0.5000 0.4895  4 B 1.81-1.82
C1 0.0000 0.0000 0.6624  4 B 1.59-1.67
C2 0.0000 0.5000 0.2201  2 C 1.50, 2 B 1.61
C3 0.5000 0.0000 0.0874  2 C 1.54, 2 B 1.66
C4 0.5000 0.5000 0.1511  4 C 1.50-1.54
C5 0.5000 0.5000 0.8225  4 B 1.60-1.64

---

# 15
B7C5 after structural relaxation, computed with GGA-PBE.

Unit cell a=4.3203 b=4.8795 c=4.8808 alpha=78.91 beta=71.99 gamma=67.40
With the nearest neighbours (Å) after each atom.
Space group P1 (No. 1)
Symmetry-distinct sites (fractional):
B1 0.0000 0.0000 0.0000  2 C 1.54-1.60
B2 0.0293 0.5217 0.7768  2 C 1.55-1.58
B3 0.2816 0.2282 0.9671  3 B 1.70-1.90, 2 C 1.72-1.76
B4 0.5068 0.9991 0.4939  3 C 1.55-1.63
B5 0.5463 0.5090 0.2719  2 C 1.56-1.62, 1 B 1.73
B6 0.6423 0.3056 0.9391  1 C 1.58, 2 B 1.70-1.74
B7 0.9034 0.2055 0.3269  2 C 1.61-1.64, 1 B 1.73
C1 0.1540 0.5920 0.4391  2 C 1.52-1.65, 2 B 1.56-1.58
C2 0.2435 0.2654 0.3279  3 B 1.61-1.76, 1 C 1.65
C3 0.3837 0.8993 0.8247  1 C 1.48, 2 B 1.54-1.58
C4 0.6374 0.6319 0.9348  1 C 1.48, 3 B 1.55-1.62
C5 0.8961 0.8707 0.3287  1 C 1.52, 3 B 1.55-1.64

---

# 16
B7C5 after structural relaxation, computed with GGA-PBE.

Unit cell a=4.8005 b=2.6978 c=6.6417 alpha=90.00 beta=95.99 gamma=90.00
With the nearest neighbours (Å) after each atom.
Space group Pm (No. 6)
Symmetry-distinct sites (fractional):
B1 0.0000 0.0000 0.0000  1 C 1.61, 2 B 1.73
B2 0.0262 0.0000 0.3998  2 C 1.57, 1 B 1.75
B3 0.2284 0.5000 0.6746  3 C 1.64-1.66, 1 B 1.79
B4 0.6615 0.0000 0.3937  2 C 1.60, 1 B 1.75
B5 0.7065 0.0000 0.7807  1 C 1.59, 2 B 1.68
B6 0.7859 0.5000 0.0362  1 C 1.60, 3 B 1.73-1.74
B7 0.9175 0.5000 0.8021  4 B 1.68-1.79
C1 0.1940 0.5000 0.4238  1 C 1.56, 3 B 1.57-1.66
C2 0.3361 0.0000 0.0085  3 C 1.57-1.61, 1 B 1.61
C3 0.3757 0.0000 0.7765  1 C 1.57, 3 B 1.59-1.64
C4 0.4771 0.5000 0.1062  3 C 1.58-1.61, 1 B 1.60
C5 0.4887 0.5000 0.3450  2 C 1.56-1.58, 2 B 1.60

---

# 17
BC after structural relaxation, computed with GGA-PBE.

Unit cell a=4.3935 b=4.4098 c=4.7745 alpha=99.99 beta=97.98 gamma=119.43
With the nearest neighbours (Å) after each atom.
Space group P1 (No. 1)
Symmetry-distinct sites (fractional):
B1 0.0000 0.0000 0.0000  3 C 1.57-1.61
B2 0.1028 0.8800 0.4477  2 C 1.64-1.73, 1 B 1.79
B3 0.2881 0.6453 0.6528  1 C 1.63, 2 B 1.75-1.83
B4 0.4109 0.3810 0.4365  2 C 1.66-1.82, 2 B 1.75-1.79
B5 0.7527 0.8443 0.6175  5 B 1.75-1.83, 1 C 1.88
B6 0.8945 0.1973 0.4500  1 C 1.57, 1 B 1.75
C1 0.0242 0.6881 0.0967  2 C 1.52-1.53, 2 B 1.57-1.64
C2 0.3401 0.6810 0.0048  3 C 1.53-1.55, 1 B 1.63
C3 0.3743 0.3713 0.0831  2 C 1.52-1.55, 2 B 1.58-1.66
C4 0.5568 0.1405 0.6380  1 C 1.58, 1 B 1.73
C5 0.6657 0.3251 0.9809  4 C 1.51-1.58
C6 0.6946 0.0495 0.1119  2 C 1.51-1.53, 2 B 1.57-1.61

---

# 18
B7C5 after structural relaxation, computed with GGA-PBE.

Unit cell a=4.8388 b=7.7179 c=4.9942 alpha=90.00 beta=118.59 gamma=90.00
With the nearest neighbours (Å) after each atom.
Space group Cm (No. 8)
Symmetry-distinct sites (fractional):
B1 0.0000 0.0000 0.0000  2 C 1.54-1.55
B2 0.0686 0.3224 0.9682  1 C 1.62, 1 B 1.77
B3 0.1402 0.1326 0.8114  1 C 1.65, 2 B 1.73-1.77
B4 0.1591 0.3363 0.3981  3 C 1.58-1.68
C1 0.0099 0.5000 0.4869  2 C 1.54, 2 B 1.62
C2 0.0277 0.1575 0.4460  1 C 1.53, 3 B 1.58-1.68
C3 0.1351 0.5000 0.8345  1 C 1.54, 3 B 1.55-1.62
C4 0.1499 0.0000 0.3502  3 C 1.53-1.54, 1 B 1.54

---

# 19
B7C5 after structural relaxation, computed with GGA-PBE.

Unit cell a=5.2125 b=6.5959 c=5.2021 alpha=90.00 beta=118.78 gamma=90.00
With the nearest neighbours (Å) after each atom.
Space group Cm (No. 8)
Symmetry-distinct sites (fractional):
B1 0.0000 0.0000 0.0000  1 C 1.69, 3 B 1.76-1.78
B2 0.0265 0.5000 0.5256  1 C 1.70, 3 B 1.78-1.85
B3 0.1399 0.0000 0.3864  2 C 1.64, 2 B 1.78
B4 0.1744 0.1522 0.8535  3 C 1.62-1.69, 1 B 1.76
B5 0.1736 0.3242 0.3508  3 C 1.59-1.63
C1 0.0214 0.1901 0.5033  4 B 1.59-1.64
C2 0.0296 0.3183 0.9961  1 C 1.53, 3 B 1.62-1.69
C3 0.1383 0.5000 0.8908  2 C 1.53, 2 B 1.69-1.70

---

# 20
B3C after structural relaxation, computed with GGA-PBE.

Unit cell a=2.3339 b=2.4502 c=14.4986 alpha=90.00 beta=90.00 gamma=90.00
With the nearest neighbours (Å) after each atom.
Space group Pmm2 (No. 25)
Symmetry-distinct sites (fractional):
B1 0.0000 0.0000 0.0000  2 C 1.64, 2 B 1.80
B2 0.0000 0.0000 0.3039  4 B 1.77-1.79
B3 0.0000 0.0000 0.6338  2 C 1.62, 2 B 1.79
B4 0.0000 0.5000 0.3924  4 B 1.77-1.80
B5 0.0000 0.5000 0.7239  4 B 1.79
B6 0.5000 0.0000 0.2105  2 C 1.65, 2 B 1.79
B7 0.5000 0.0000 0.9059  4 B 1.78-1.80
B8 0.5000 0.5000 0.4872  2 C 1.58
B9 0.5000 0.5000 0.8172  4 B 1.78-1.79
C1 0.0000 0.5000 0.0751  2 C 1.45
C2 0.5000 0.0000 0.5565  4 B 1.58-1.62
C3 0.5000 0.5000 0.1344  2 C 1.45

---

# 21
B7C5 after structural relaxation, computed with GGA-PBE.

Unit cell a=4.0379 b=2.5926 c=8.1161 alpha=90.00 beta=95.33 gamma=90.00
With the nearest neighbours (Å) after each atom.
Space group Pm (No. 6)
Symmetry-distinct sites (fractional):
B1 0.0000 0.0000 0.0000  4 B 1.64-1.76
B2 0.0213 0.0000 0.6762  3 C 1.66-1.72
B3 0.3047 0.0000 0.8802  3 B 1.64-1.77
B4 0.3443 0.0000 0.1411  2 C 1.55, 1 B 1.72
B5 0.5792 0.5000 0.8341  1 C 1.53
B6 0.7329 0.5000 0.0496  1 C 1.58, 2 B 1.76
B7 0.9549 0.0000 0.4041  3 C 1.55-1.60
C1 0.2809 0.0000 0.5204  2 B 1.55-1.72, 2 C 1.57
C2 0.5029 0.5000 0.5242  4 C 1.55-1.62
C3 0.5241 0.5000 0.2042  1 C 1.51, 3 B 1.55-1.58
C4 0.7271 0.5000 0.3694  2 C 1.51-1.62, 2 B 1.60
C5 0.7631 0.5000 0.6779  3 B 1.53-1.66, 1 C 1.55

---

For reference, total magnetization by record: 0.000, 0.000, 0.000, 0.000, 0.000, 0.000, 0.000, 0.000, 0.000, 0.000, 0.000, 0.000, 0.000, 0.000, 0.000, 0.000, 0.000, 0.000, 0.000, 0.000, 0.000 μB/f.u..
For reference, E above lowest polymorph by record: 224, 261, 27, 83, 186, 248, 187, 217, 137, 307, 303, 276, 285, 256, 257, 317, 231, 287, 238, 171, 252 meV per atom.
For reference, calculated density by record: 2627, 2930, 3351, 3069, 2857, 2870, 2683, 2799, 2682, 2764, 2709, 2839, 2448, 2790, 2504, 2635, 2969, 2753, 2876, 2670, 2664 kg/m3.